A plane-wave DFT calculation with PBE-GGA was carried out for a geometry-optimized Pm4TlInN structure.

Cell lengths 6.966, 6.970, 8.796 Å; angles 90.00, 113.33, 90.00 degrees
Atoms (fractional coordinates):
Pm 0.913 0.250 0.827
Pm 0.413 0.750 0.825
Pm 0.087 0.750 0.173
Pm 0.587 0.250 0.175
Pm 0.500 0.500 0.500
Pm 0.000 0.000 0.500
Pm 0.500 0.000 0.500
Pm 0.000 0.500 0.500
Tl 0.112 0.250 0.225
Tl 0.888 0.750 0.775
In 0.613 0.750 0.226
In 0.387 0.250 0.774
N 0.250 0.750 0.501
N 0.750 0.250 0.499

Uncorrected energy, Ry per atom: -0.3880
Symmetry: Cmcm (63)
Formation energy from raw total energies, eV per atom: -0.646
Magnetization, μB per cell: 0.00